DFT (GGA-PBE) results for a relaxed structure of Li3ScS.

Structure (CIF):
```
data_Li3ScS
_cell_length_a 5.2655
_cell_length_b 5.2655
_cell_length_c 5.2655
_cell_angle_alpha 90.00
_cell_angle_beta 90.00
_cell_angle_gamma 90.00
_symmetry_space_group_name_H-M 'P m -3 m'
_symmetry_Int_Tables_number 221
_symmetry_space_group_name_Hall '-P 4 2 3'
loop_
_atom_site_label
_atom_site_type_symbol
_atom_site_fract_x
_atom_site_fract_y
_atom_site_fract_z
Li1 Li 0.0000 0.0000 0.5000
Sc1 Sc 0.0000 0.0000 0.0000
S1 S 0.5000 0.5000 0.5000
```

For the volume, the calculation gives 146 Å³/f.u. The value obtained for the uncorrected formation energy is 0.94 eV/atom. The density comes out at 1.11 g cm⁻³. The calculation puts the density of states at the Fermi level at 13.52 states/eV per cell.